<a>
Computed, not measured: crystalline LiTmTl2 at its relaxed geometry at the GGA-PBE level of DFT.

a = 3.5773 Å, b = 3.5773 Å, c = 7.3597 Å
α = 90.00°, β = 90.00°, γ = 90.00°
Closest atoms and distances in Å follow each position.
Fractional positions:
Li1 0.0000 0.0000 0.0000  8 Tl 3.00
Tm1 0.0000 0.0000 0.5000  8 Tl 3.26, 4 Tm 3.58
Tl1 0.5000 0.5000 0.2203  4 Li 3.00, 1 Tl 3.24, 4 Tm 3.26
Tl2 0.5000 0.5000 0.7797  4 Li 3.00, 1 Tl 3.24, 4 Tm 3.26

## Properties
- magnetization (μB/cell) = 0.2
- calculated density (g/cm3) = 10.31
- DOS(E_F) (states/eV/cell) = 1.87
- volume (Å³ per atom) = 23.55

---

<b>
Computed, not measured: crystalline LiTmTl2 at its relaxed geometry at the GGA-PBE level of DFT.

a = 5.1472 Å, b = 5.1472 Å, c = 5.1472 Å
α = 60.00°, β = 60.00°, γ = 60.00°
Closest atoms and distances in Å follow each position.
Fractional positions:
Li1 0.0000 0.0000 0.0000  8 Tl 3.15
Tm1 0.5000 0.5000 0.5000  8 Tl 3.15
Tl1 0.2500 0.2500 0.2500  4 Li 3.15, 4 Tm 3.15
Tl2 0.7500 0.7500 0.7500  4 Li 3.15, 4 Tm 3.15

## Properties
- magnetization (μB/cell) = 0.0
- calculated density (g/cm3) = 10.07
- DOS(E_F) (states/eV/cell) = 1.68
- volume (Å³ per atom) = 24.11

---

Stability verdict: <b>, ahead by 24 meV per atom